Entry 1:
The following is a DFT calculation (PBE) of a relaxed structure of KSc5S8.

a = 9.775 Å, b = 9.775 Å, c = 9.211 Å
α = 104.70°, β = 104.70°, γ = 22.05°
Sites, in units of the cell vectors:
K 0.000 0.000 0.000
Sc 0.155 0.155 0.457
Sc 0.204 0.204 0.841
Sc 0.500 0.500 0.500
Sc 0.795 0.795 0.158
Sc 0.844 0.844 0.542
S 0.078 0.078 0.648
S 0.267 0.267 0.350
S 0.331 0.331 0.009
S 0.418 0.418 0.687
S 0.581 0.581 0.312
S 0.668 0.668 0.990
S 0.732 0.732 0.650
S 0.921 0.921 0.351

Results
ΔE_f (raw) = -43.2 kcal/mol of atoms



Entry 2:
The following is a DFT calculation (PBE) of a relaxed structure of FeReRh2.

a = 2.711 Å, b = 4.300 Å, c = 4.719 Å
α = 90.00°, β = 90.00°, γ = 90.00°
Sites, in units of the cell vectors:
Fe 0.000 0.000 0.000
Re 0.000 0.500 0.679
Rh 0.500 0.000 0.509
Rh 0.500 0.500 0.164

Results
E above lowest polymorph = 0.45 kcal/mol of atoms
formation enthalpy at 0 K = -0.3 eV per formula unit



Entry 3:
The following is a DFT calculation (PBE) of a relaxed structure of DyErTm2.

a = 11.445 Å, b = 11.445 Å, c = 11.445 Å
α = 17.74°, β = 17.74°, γ = 17.74°
Sites, in units of the cell vectors:
Dy 0.000 0.000 0.000
Er 0.166 0.166 0.166
Tm 0.417 0.417 0.417
Tm 0.582 0.582 0.582

Results
E above lowest polymorph = 0.15 kcal/mol of atoms
formation enthalpy at 0 K = 0.0 eV per formula unit



Entry 4:
The following is a DFT calculation (PBE) of a relaxed structure of Ba2AlCuF9.

a = 5.486 Å, b = 7.434 Å, c = 9.377 Å
α = 90.00°, β = 90.89°, γ = 90.00°
Sites, in units of the cell vectors:
Ba 0.236 0.000 0.057
Ba 0.249 0.228 0.586
Ba 0.751 0.728 0.414
Ba 0.764 0.500 0.943
Al 0.259 0.707 0.674
Al 0.741 0.207 0.326
Cu 0.248 0.513 0.232
Cu 0.752 0.013 0.768
F 0.008 0.683 0.174
F 0.020 0.540 0.680
F 0.020 0.888 0.653
F 0.209 0.358 0.052
F 0.249 0.696 0.478
F 0.278 0.733 0.861
F 0.496 0.537 0.674
F 0.498 0.886 0.648
F 0.499 0.673 0.170
F 0.501 0.173 0.830
F 0.502 0.386 0.352
F 0.504 0.037 0.326
F 0.722 0.233 0.139
F 0.751 0.196 0.522
F 0.791 0.858 0.948
F 0.980 0.040 0.320
F 0.980 0.388 0.347
F 0.992 0.183 0.826

Results
ΔE_f (raw) = -75.1 kcal/mol of atoms